[1]
! OsAuO2 | Alexandria via LeMat-Bulk | GGA-PBEsol | relaxed; values from VASP
&SYSTEM
  ibrav = 0, nat = 4, ntyp = 3
/
ATOMIC_SPECIES
Os 190.23 Os.upf
Au 196.97 Au.upf
O 16.00 O.upf
ATOMIC_POSITIONS crystal
Os 0.500 0.500 0.500
Au 0.000 0.000 0.000
O 0.885 0.885 0.345
O 0.115 0.115 0.655
CELL_PARAMETERS angstrom
-0.109 -2.677 0.522
1.067 -0.985 2.311
-7.188 -0.151 4.867
! - Relative energy among the computed polymorphs: 0.0 meV per atom
! - D(E_F): 1.7 states/eV/cell
! - Total DFT energy (no corrections): -6.96 eV per atom
! - Volume: 55.1 Å³/f.u.
! - Size of the total moment: 0.00 μB per formula unit

---

[2]
! Li2AgF5 | Alexandria via LeMat-Bulk | GGA-PBEsol | relaxed; values from VASP
&SYSTEM
  ibrav = 0, nat = 16, ntyp = 3
/
ATOMIC_SPECIES
Li 6.94 Li.upf
Ag 107.87 Ag.upf
F 19.00 F.upf
ATOMIC_POSITIONS crystal
Li 0.367 0.751 0.289
Li 0.384 0.751 0.789
Li 0.616 0.249 0.211
Li 0.633 0.249 0.711
Ag 0.000 0.000 0.000
Ag 0.000 0.000 0.500
F 0.228 0.829 0.042
F 0.036 0.373 0.662
F 0.337 0.373 0.162
F 0.600 0.829 0.542
F 0.724 0.000 0.250
F 0.276 0.000 0.750
F 0.400 0.171 0.458
F 0.663 0.627 0.838
F 0.964 0.627 0.338
F 0.772 0.171 0.958
CELL_PARAMETERS angstrom
-4.037 -3.177 1.153
5.104 -1.441 1.882
-3.115 5.588 4.491
! - Relative energy among the computed polymorphs: 0.0 meV per atom
! - Total DFT energy (no corrections): -4.11 eV per atom
! - Volume: 93.9 Å³/f.u.
! - Size of the total moment: 0.00 μB per formula unit

---

[3]
! Mn2C | Alexandria via LeMat-Bulk | GGA-PBEsol | relaxed; values from VASP
&SYSTEM
  ibrav = 0, nat = 6, ntyp = 2
/
ATOMIC_SPECIES
C 12.01 C.upf
Mn 54.94 Mn.upf
ATOMIC_POSITIONS crystal
C 0.385 0.770 0.072
C 0.615 0.230 0.572
Mn 0.029 0.058 0.286
Mn 0.971 0.942 0.786
Mn 0.286 0.573 0.475
Mn 0.714 0.427 0.975
CELL_PARAMETERS angstrom
2.559 0.000 0.000
-1.280 4.314 0.000
0.000 0.000 4.568
! - D(E_F): 4.6 states/eV/cell
! - Total DFT energy (no corrections): -9.79 eV per atom
! - Volume: 25.2 Å³/f.u.
! - DFT formation energy: -0.0644 eV per atom
! - Size of the total moment: 0.00 μB per formula unit

---

[4]
! CsCdCoHg2 | Alexandria via LeMat-Bulk | GGA-PBEsol | relaxed; values from VASP
&SYSTEM
  ibrav = 0, nat = 5, ntyp = 4
/
ATOMIC_SPECIES
Cs 132.91 Cs.upf
Co 58.93 Co.upf
Hg 200.59 Hg.upf
Cd 112.41 Cd.upf
ATOMIC_POSITIONS crystal
Cs 0.000 0.000 0.500
Co 0.000 0.000 0.000
Hg 0.000 0.500 0.000
Hg 0.500 0.000 0.000
Cd 0.500 0.500 0.500
CELL_PARAMETERS angstrom
-3.895 1.483 -2.885
-2.924 -3.557 2.120
-1.516 3.555 3.874
! - D(E_F): 2.6 states/eV/cell
! - Total DFT energy (no corrections): -1.76 eV per atom
! - Volume: 140.6 Å³/f.u.
! - DFT formation energy: 0.4375 eV per atom
! - Size of the total moment: 0.00 μB per formula unit